VASP calculation (PBE-GGA) on a geometry-optimized RbBiSe2N structure.

a b c (Å): 5.9202 5.9202 4.8832
angles (deg): 90.00 90.00 90.00
Sites, in units of the cell vectors:
Se 0.0000 0.5000 0.0000
Se 0.5000 0.0000 0.0000
Bi 0.5000 0.5000 0.5000
Rb 0.0000 0.0000 0.0000
N 0.0000 0.0000 0.5000

Summary:
Energy in eV per formula unit: -12.77
Energy above the most stable polymorph in this dataset in meV per atom: 1137
Spin magnetization in μB/cell: 2.4
Calculated volume in Å³ per cell: 171.2



VASP calculation (PBE-GGA) on a geometry-optimized RbBiSeN2 structure.

a b c (Å): 4.5234 4.5234 6.3696
angles (deg): 90.00 90.00 90.00
Sites, in units of the cell vectors:
Se 0.0000 0.0000 0.5000
Bi 0.5000 0.5000 0.5000
Rb 0.0000 0.0000 0.0000
N 0.0000 0.5000 0.0000
N 0.5000 0.0000 0.0000

Summary:
Energy in eV per formula unit: -14.23
Energy above the most stable polymorph in this dataset in meV per atom: 1172
Spin magnetization in μB/cell: 2.3
Calculated volume in Å³ per cell: 130.3